# PmZrCoNi

PmZrCoNi after structural relaxation (PBE, the Alexandria database).

Magnetization = 0.443 μB/cell
Energy relative to the elements = -0.49 eV per formula unit
Calculated total energy = -6.67 eV per atom

The structure in POSCAR format:
```
PmZrCoNi
1.0
0.0000 3.3258 3.3258
3.3258 0.0000 3.3258
3.3258 3.3258 0.0000
Pm Zr Co Ni
1 1 1 1
direct
0.0000 0.0000 0.0000
0.5000 0.5000 0.5000
0.7500 0.7500 0.7500
0.2500 0.2500 0.2500
```

---

# PrCo2Ni4

PrCo2Ni4 after structural relaxation (PBE, the Alexandria database).

Magnetization = 4.715 μB/cell
Energy relative to the elements = -0.48 eV per formula unit
Calculated total energy = -6.09 eV per atom

The structure in POSCAR format:
```
PrCo2Ni4
1.0
-3.1444 3.1444 2.4040
3.1444 -3.1444 2.4040
3.1444 3.1444 -2.4040
Pr Co Ni
1 2 4
direct
0.0000 0.0000 0.0000
0.2500 0.7500 0.5000
0.7500 0.2500 0.5000
0.3059 0.3059 0.6118
0.3059 0.6941 0.0000
0.6941 0.3059 0.0000
0.6941 0.6941 0.3882
```